A relaxed structure of Tb6PmDy2Ho3, computed with PBE-GGA.

Cell: 6.154 6.154 11.782 Å, 94.97 94.97 119.95°
Element x y z (fractional)
Tb  0.082  0.416  0.248
Tb  0.250  0.250  0.752
Tb  0.416  0.082  0.248
Tb  0.584  0.918  0.752
Tb  0.750  0.750  0.248
Tb  0.918  0.584  0.752
Pm  0.500  0.500  0.500
Dy  0.167  0.833  0.500
Dy  0.833  0.167  0.500
Ho  0.000  0.000  0.000
Ho  0.333  0.667  0.000
Ho  0.667  0.333  0.000

Computed properties:
Space-group type: C2/m, No. 12
Energy relative to the elements in kJ/mol of formula units: 17.5
Uncorrected energy in eV per atom: -4.61
Density of states at the Fermi level in states/eV/cell: 15.32